# Y2CuSi4Au3

A relaxed Y2CuSi4Au3 crystal (PBE, Alexandria via LeMat-Bulk).

## Properties
ρ = 8.58 g/cm3
Density of states at the Fermi level = 3.329 states/eV/cell
Calculated total energy = -53.7 eV/f.u.
Raw formation energy = -519 meV per atom

abc: 4.094 4.094 10.911
angles: 90.00 90.00 90.00
Space group P-4m2 (No. 115)
Symmetry-distinct sites (fractional):
Y (0.000, 0.500, 0.229) (multiplicity 2)
Cu (0.500, 0.500, 0.000) (multiplicity 1)
Si (0.000, 0.000, 0.500) (multiplicity 1)
Si (0.000, 0.500, 0.869) (multiplicity 2)
Si (0.500, 0.500, 0.500) (multiplicity 1)
Au (0.000, 0.000, 0.000) (multiplicity 1)
Au (0.000, 0.500, 0.644) (multiplicity 2)

---

# Sm5CuAu4

A relaxed Sm5CuAu4 crystal (PBE, Alexandria via LeMat-Bulk).

## Properties
ρ = 10.91 g/cm3
Density of states at the Fermi level = 5.502 states/eV/cell
Calculated total energy = -47.5 eV/f.u.
Calculated formation energy = -673 meV/atom

abc: 3.638 3.638 18.441
angles: 90.00 90.00 90.00
Space group P4/mmm (No. 123)
Symmetry-distinct sites (fractional):
Sm (0.000, 0.000, 0.000) (multiplicity 1)
Sm (0.000, 0.000, 0.203) (multiplicity 2)
Sm (0.000, 0.000, 0.405) (multiplicity 2)
Cu (0.500, 0.500, 0.500) (multiplicity 1)
Au (0.500, 0.500, 0.102) (multiplicity 2)
Au (0.500, 0.500, 0.305) (multiplicity 2)

---

# Sm2Cu2Au

A relaxed Sm2Cu2Au crystal (PBE, Alexandria via LeMat-Bulk).

## Properties
ρ = 9.45 g/cm3
Energy above the lowest structure with this stoichiometry = 0.000 eV/atom
Density of states at the Fermi level = 13.756 states/eV/cell
Calculated total energy = -22.9 eV/f.u.
Calculated formation energy = -406 meV/atom

abc: 10.545 4.300 10.734
angles: 90.00 115.51 90.00
Space group C2/m (No. 12)
Symmetry-distinct sites (fractional):
Sm (0.020, 0.000, 0.342) (multiplicity 4)
Sm (0.192, 0.000, 0.112) (multiplicity 4)
Cu (0.024, 0.500, 0.893) (multiplicity 4)
Cu (0.130, 0.500, 0.559) (multiplicity 4)
Au (0.222, 0.500, 0.333) (multiplicity 4)

---

# Sm3Cu3Au

A relaxed Sm3Cu3Au crystal (PBE, Alexandria via LeMat-Bulk).

## Properties
ρ = 8.83 g/cm3
Density of states at the Fermi level = 11.569 states/eV/cell
Calculated total energy = -32.1 eV/f.u.
Calculated formation energy = -345 meV/atom

abc: 3.798 4.304 19.300
angles: 90.00 90.00 90.00
Space group Imm2 (No. 44)
Symmetry-distinct sites (fractional):
Sm (0.000, 0.000, 0.000) (multiplicity 2)
Sm (0.000, 0.000, 0.371) (multiplicity 2)
Sm (0.000, 0.500, 0.180) (multiplicity 2)
Cu (0.000, 0.000, 0.546) (multiplicity 2)
Cu (0.000, 0.000, 0.831) (multiplicity 2)
Cu (0.000, 0.500, 0.614) (multiplicity 2)
Au (0.000, 0.500, 0.748) (multiplicity 2)

---

# Sm3CuAu3

A relaxed Sm3CuAu3 crystal (PBE, Alexandria via LeMat-Bulk).

## Properties
ρ = 10.92 g/cm3
Density of states at the Fermi level = 9.857 states/eV/cell
Calculated total energy = -32.8 eV/f.u.
Calculated formation energy = -678 meV/atom

abc: 3.786 4.584 19.364
angles: 90.00 90.00 90.00
Space group Imm2 (No. 44)
Symmetry-distinct sites (fractional):
Sm (0.000, 0.000, 0.000) (multiplicity 2)
Sm (0.000, 0.000, 0.369) (multiplicity 2)
Sm (0.000, 0.500, 0.187) (multiplicity 2)
Cu (0.000, 0.500, 0.754) (multiplicity 2)
Au (0.000, 0.000, 0.532) (multiplicity 2)
Au (0.000, 0.000, 0.828) (multiplicity 2)
Au (0.000, 0.500, 0.624) (multiplicity 2)

---

# SmCuAu

A relaxed SmCuAu crystal (PBE, Alexandria via LeMat-Bulk).

## Properties
ρ = 10.71 g/cm3
Energy above the lowest structure with this stoichiometry = 0.010 eV/atom
Density of states at the Fermi level = 2.977 states/eV/cell
Calculated total energy = -13.7 eV/f.u.
Calculated formation energy = -536 meV/atom

abc: 4.5262 4.5262 3.5912
angles: 90.00 90.00 120.00
Space group P-6m2 (No. 187)
Symmetry-distinct sites (fractional):
Sm (0.0000, 0.0000, 0.0000) (multiplicity 1)
Cu (0.3333, 0.6667, 0.5000) (multiplicity 1)
Au (0.6667, 0.3333, 0.5000) (multiplicity 1)

---

# Sm8Cu2Au

A relaxed Sm8Cu2Au crystal (PBE, Alexandria via LeMat-Bulk).

## Properties
ρ = 8.21 g/cm3
Density of states at the Fermi level = 20.468 states/eV/cell
Calculated total energy = -51.3 eV/f.u.
Calculated formation energy = -186 meV/atom

abc: 18.105 5.173 6.903
angles: 90.00 107.19 90.00
Space group C2/m (No. 12)
Symmetry-distinct sites (fractional):
Sm (0.030, 0.000, 0.280) (multiplicity 4)
Sm (0.093, 0.500, 0.966) (multiplicity 4)
Sm (0.173, 0.500, 0.494) (multiplicity 4)
Sm (0.199, 0.000, 0.842) (multiplicity 4)
Cu (0.179, 0.000, 0.232) (multiplicity 4)
Au (0.000, 0.500, 0.500) (multiplicity 2)

---

# SmCuAu

A relaxed SmCuAu crystal (PBE, Alexandria via LeMat-Bulk).

## Properties
ρ = 10.93 g/cm3
Energy above the lowest structure with this stoichiometry = 0.081 eV/atom
Density of states at the Fermi level = 2.596 states/eV/cell
Calculated total energy = -13.5 eV/f.u.
Calculated formation energy = -465 meV/atom

abc: 3.711 3.711 9.059
angles: 90.00 90.00 90.00
Space group I4mm (No. 107)
Symmetry-distinct sites (fractional):
Sm (0.000, 0.000, 0.000) (multiplicity 2)
Cu (0.000, 0.000, 0.672) (multiplicity 2)
Au (0.000, 0.000, 0.330) (multiplicity 2)

---

# SmCuAu2

A relaxed SmCuAu2 crystal (PBE, Alexandria via LeMat-Bulk).

## Properties
ρ = 12.13 g/cm3
Energy above the lowest structure with this stoichiometry = 0.067 eV/atom
Density of states at the Fermi level = 5.006 states/eV/cell
Calculated total energy = -17.5 eV/f.u.
Calculated formation energy = -525 meV/atom

abc: 4.5482 4.5482 13.9304
angles: 90.00 90.00 120.00
Space group R-3m (No. 166, hexagonal axes)
Symmetry-distinct sites (fractional):
Sm (0.0000, 0.0000, 0.0000) (multiplicity 3)
Cu (0.0000, 0.0000, 0.5000) (multiplicity 3)
Au (0.0000, 0.0000, 0.2201) (multiplicity 6)

---

# SmCu8Au3

A relaxed SmCu8Au3 crystal (PBE, Alexandria via LeMat-Bulk).

## Properties
ρ = 11.68 g/cm3
Density of states at the Fermi level = 5.412 states/eV/cell
Calculated total energy = -48.9 eV/f.u.
Calculated formation energy = -131 meV/atom

abc: 5.0142 5.0142 8.1609
angles: 90.00 90.00 120.00
Space group P3m1 (No. 156)
Symmetry-distinct sites (fractional):
Sm (0.0000, 0.0000, 0.0000) (multiplicity 1)
Cu (0.1658, 0.3316, 0.6796) (multiplicity 3)
Cu (0.3333, 0.6667, 0.4350) (multiplicity 1)
Cu (0.3333, 0.6667, 0.9353) (multiplicity 1)
Cu (0.5024, 0.0048, 0.1966) (multiplicity 3)
Au (0.0000, 0.0000, 0.3791) (multiplicity 1)
Au (0.6667, 0.3333, 0.4995) (multiplicity 1)
Au (0.6667, 0.3333, 0.8675) (multiplicity 1)

---

# Sm5Cu4Au

A relaxed Sm5Cu4Au crystal (PBE, Alexandria via LeMat-Bulk).

## Properties
ρ = 8.73 g/cm3
Density of states at the Fermi level = 5.975 states/eV/cell
Calculated total energy = -46.3 eV/f.u.
Calculated formation energy = -302 meV/atom

abc: 3.563 3.563 18.021
angles: 90.00 90.00 90.00
Space group P4/mmm (No. 123)
Symmetry-distinct sites (fractional):
Sm (0.000, 0.000, 0.000) (multiplicity 1)
Sm (0.000, 0.000, 0.197) (multiplicity 2)
Sm (0.000, 0.000, 0.395) (multiplicity 2)
Cu (0.500, 0.500, 0.099) (multiplicity 2)
Cu (0.500, 0.500, 0.294) (multiplicity 2)
Au (0.500, 0.500, 0.500) (multiplicity 1)

---

# SmCuAu3

A relaxed SmCuAu3 crystal (PBE, Alexandria via LeMat-Bulk).

## Properties
ρ = 13.44 g/cm3
Density of states at the Fermi level = 5.717 states/eV/cell
Calculated total energy = -20.9 eV/f.u.
Calculated formation energy = -445 meV/atom

abc: 5.389 5.636 6.958
angles: 90.00 109.72 90.00
Space group P2_1/m (No. 11)
Symmetry-distinct sites (fractional):
Sm (0.238, 0.250, 0.181) (multiplicity 2)
Cu (0.379, 0.750, 0.043) (multiplicity 2)
Au (0.206, 0.007, 0.711) (multiplicity 4)
Au (0.310, 0.750, 0.387) (multiplicity 2)